Density functional theory data (PBE with a Hubbard U) for a relaxed Li2PaCrO8 crystal.

Cell: 5.594 5.594 5.803 Å, 90.00 90.00 120.00°
Each line ends with the local moment (μB).
Sites, in units of the cell vectors:
O 0.702 0.851 0.215  0.28
Li 0.667 0.333 0.910  -0.01
O 0.149 0.298 0.215  0.28
O 0.851 0.149 0.785  0.28
O 0.667 0.333 0.262  1.26
O 0.851 0.702 0.785  0.28
O 0.298 0.149 0.785  0.28
Li 0.333 0.667 0.090  -0.01
Cr 0.000 0.000 0.000  -1.95
O 0.149 0.851 0.215  0.28
O 0.333 0.667 0.738  1.26
Pa 0.000 0.000 0.500  -0.07

Calculated values
- space-group type = P-3m1
- size of the total moment (μB/f.u.) = 3.0



Density functional theory data (PBE with a Hubbard U) for a relaxed LiPaCr2O6 crystal.

Cell: 5.362 5.362 5.556 Å, 61.14 61.14 60.00°
Each line ends with the local moment (μB).
Sites, in units of the cell vectors:
Pa 0.803 0.803 0.590  0.09
Li 0.303 0.303 0.091  0.00
O 0.229 0.877 0.244  -0.03
O 0.743 0.149 0.732  -0.02
O 0.149 0.377 0.731  -0.02
Cr 0.515 0.515 0.455  2.94
O 0.877 0.649 0.244  -0.03
Cr 0.016 0.016 0.953  2.96
O 0.377 0.743 0.731  -0.02
O 0.649 0.229 0.244  -0.03

Calculated values
- space-group type = R3
- size of the total moment (μB/f.u.) = 6.0



Number 1: electronic total energy -77.0 eV per cell. Number 2: electronic total energy -80.9 eV per cell.